The following is a PBE calculation of Cd2AsOs after structural relaxation, from the Alexandria database.

## Properties
- Symmetry: Cmmm
- DFT formation energy: 0.54 eV per atom

Unit cell a=2.895 b=2.895 c=10.290 alpha=90.00 beta=90.00 gamma=119.49
Sites, in units of the cell vectors:
Cd (0.000, 0.000, 0.236)
Cd (0.000, 0.000, 0.764)
As (0.500, 0.500, 0.500)
Os (0.500, 0.500, 0.000)